# 1
## Na2Ta2RhS6 (PBE-GGA)

Data for crystalline Na2Ta2RhS6 at its relaxed geometry.

extended XYZ file:
```
11
Lattice="6.089 -0.098 0.102 -3.094 5.245 0.102 -1.006 -1.729 6.927" Properties=species:S:1:pos:R:3 pbc="T T T"
Rh -0.503 -0.865 3.463
S 0.550 0.946 1.849
Na -1.497 4.316 0.102
Ta 2.248 0.979 3.565
S 1.525 -1.013 4.836
S 0.463 4.431 2.294
S 3.623 2.593 2.294
S -1.635 0.825 4.836
S 1.438 2.472 5.281
Ta -0.260 2.438 3.565
Na 4.492 0.831 0.102
```

## Properties
- Symmetry: C2/m (12)
- Uncorrected formation energy: -0.92 eV per atom


# 2
## Na2TaRh2S6 (PBE-GGA)

Data for crystalline Na2TaRh2S6 at its relaxed geometry.

extended XYZ file:
```
11
Lattice="6.215 -0.152 0.032 -3.204 5.327 0.032 -1.098 -1.888 6.732" Properties=species:S:1:pos:R:3 pbc="T T T"
S 0.337 4.374 2.115
S -1.723 0.833 4.681
S 1.422 2.445 4.798
Ta -0.549 -0.944 3.366
S 3.636 2.454 2.115
Rh -0.582 2.539 3.398
Rh 2.495 0.749 3.398
S 1.576 -1.087 4.681
S 0.490 0.843 1.998
Na 4.654 0.756 0.032
Na -1.643 4.419 0.032
```

## Properties
- Symmetry: C2/m (12)
- Uncorrected formation energy: -0.77 eV per atom


# 3
## Na3TaRh3S8 (PBE-GGA)

Data for crystalline Na3TaRh3S8 at its relaxed geometry.

extended XYZ file:
```
15
Lattice="7.180 0.000 0.000 -3.590 6.216 -0.024 0.000 -4.122 6.549" Properties=species:S:1:pos:R:3 pbc="T T T"
Rh 1.795 1.047 3.262
Rh -1.795 1.047 3.262
Na 0.000 0.000 0.000
S 1.839 -1.005 1.975
S 0.000 0.069 4.563
Ta 0.000 -2.061 3.275
Na -1.795 3.108 -0.012
S 3.590 2.025 1.962
S 0.000 2.079 2.022
S -1.751 3.098 4.550
S 3.590 0.015 4.503
Rh 3.590 -2.061 3.275
S 5.341 -1.005 1.975
Na 1.795 3.108 -0.012
S 1.751 3.098 4.550
```

## Properties
- Symmetry: R-3m (166)
- Uncorrected formation energy: -0.75 eV per atom


# 4
## Na2TcRh2S6 (PBE-GGA)

Data for crystalline Na2TcRh2S6 at its relaxed geometry.

extended XYZ file:
```
11
Lattice="6.193 -0.025 0.058 -3.082 5.371 0.058 -1.111 -1.909 6.530" Properties=species:S:1:pos:R:3 pbc="T T T"
S 0.504 0.867 2.032
S 3.612 2.598 2.103
S -1.612 0.840 4.544
S 1.527 -0.986 4.544
Rh -0.552 2.622 3.323
Na 4.651 0.872 0.058
Na -1.541 4.475 0.058
Tc -0.555 -0.955 3.265
S 0.473 4.424 2.103
S 1.495 2.571 4.615
Rh 2.552 0.816 3.323
```

## Properties
- Symmetry: C2/m (12)
- Uncorrected formation energy: -0.61 eV per atom


# 5
## Na4TcRh3S8 (PBE-GGA)

Data for crystalline Na4TcRh3S8 at its relaxed geometry.

extended XYZ file:
```
16
Lattice="7.314 0.000 0.000 0.000 7.564 0.169 -3.657 -3.656 5.172" Properties=species:S:1:pos:R:3 pbc="T T T"
Rh -1.828 1.954 2.671
Na -1.828 -1.828 2.586
S 5.469 2.185 0.260
S 3.657 3.532 2.494
Rh 1.828 1.954 2.671
S 0.000 0.376 2.848
Na 3.657 0.000 0.000
S -1.812 1.723 5.082
Na 1.828 -1.828 2.586
Rh 3.657 3.782 0.085
S 1.845 2.185 0.260
Na 0.000 0.000 0.000
S 0.000 3.534 2.518
S 1.812 1.723 5.082
S 3.657 0.373 2.823
Tc 0.000 3.782 0.085
```

## Properties
- Symmetry: R-3m (166)
- Uncorrected formation energy: -0.70 eV per atom


# 6
## NaTcRh4S8 (PBE-GGA)

Data for crystalline NaTcRh4S8 at its relaxed geometry.

extended XYZ file:
```
14
Lattice="7.388 0.000 0.000 3.694 6.399 0.000 3.694 2.133 5.270" Properties=species:S:1:pos:R:3 pbc="T T T"
S 7.388 2.123 1.422
S 11.083 6.399 3.768
S 9.244 5.337 1.422
S 3.694 2.133 1.401
S 5.533 5.337 1.422
Rh 5.558 1.057 2.569
Rh 7.388 4.266 0.808
S 7.388 6.828 3.952
Rh 1.831 1.057 2.569
Tc 11.083 6.399 0.472
S 9.607 2.985 3.952
Rh 3.694 4.285 2.569
Na 7.388 4.266 3.977
S 5.169 2.985 3.952
```

## Properties
- Symmetry: R3m (160)
- Uncorrected formation energy: -0.46 eV per atom


# 7
## NaTeRhS (PBE-GGA)

Data for crystalline NaTeRhS at its relaxed geometry.

extended XYZ file:
```
4
Lattice="3.845 -0.001 -0.001 -1.922 3.330 0.001 -1.922 -1.109 7.024" Properties=species:S:1:pos:R:3 pbc="T T T"
Rh -1.559 0.867 5.927
Na -1.560 0.868 2.912
S 0.363 -0.243 4.722
Te -1.559 3.086 0.274
```

## Properties
- Symmetry: R3m (160)
- Uncorrected formation energy: -0.61 eV per atom


# 8
## Na4Th3RhS8 (PBE-GGA)

Data for crystalline Na4Th3RhS8 at its relaxed geometry.

extended XYZ file:
```
16
Lattice="7.580 0.000 0.000 0.000 8.152 0.093 -3.790 -4.001 6.213" Properties=species:S:1:pos:R:3 pbc="T T T"
Th 1.895 2.075 3.153
Rh 0.000 4.076 0.046
Na 1.895 -2.001 3.106
S -2.131 1.844 6.005
S 5.921 2.307 0.300
S 3.790 4.150 2.872
Na -1.895 -2.001 3.106
S 1.659 2.307 0.300
S 0.000 4.048 3.660
Th -1.895 2.075 3.153
Na 3.790 0.000 0.000
S 0.000 0.000 3.433
Th 3.790 4.076 0.046
S 3.790 0.102 2.646
Na 0.000 0.000 0.000
S 2.131 1.844 6.005
```

## Properties
- Symmetry: C2/m (12)
- Uncorrected formation energy: -1.42 eV per atom


# 9
## NaTi3Rh2S6 (PBE-GGA)

Data for crystalline NaTi3Rh2S6 at its relaxed geometry.

extended XYZ file:
```
12
Lattice="3.476 0.000 0.000 0.000 7.796 0.059 -1.738 -2.478 7.998" Properties=species:S:1:pos:R:3 pbc="T T T"
S 1.738 -0.348 3.128
Ti 0.000 5.755 2.292
Ti 1.738 -0.437 5.766
S 0.000 1.210 5.593
S 1.738 4.107 2.465
S 1.738 3.159 7.821
S 0.000 2.158 0.236
Na 1.738 0.000 0.000
S 0.000 5.666 4.930
Rh 0.000 0.727 2.179
Ti 1.738 3.898 0.029
Rh 1.738 4.591 5.879
```

## Properties
- Symmetry: C2/m (12)
- Uncorrected formation energy: -0.92 eV per atom


# 10
## Na3TiRh2S6 (PBE-GGA)

Data for crystalline Na3TiRh2S6 at its relaxed geometry.

extended XYZ file:
```
12
Lattice="6.294 -0.052 -0.014 -3.191 5.426 -0.014 -1.050 -1.817 6.479" Properties=species:S:1:pos:R:3 pbc="T T T"
S -1.111 1.843 1.268
Na 1.027 1.778 3.226
S 0.007 0.012 5.171
Rh 3.122 1.780 -0.014
S 2.047 3.544 1.281
S 2.151 -0.042 1.268
S -0.097 3.599 5.184
Ti 0.000 0.000 0.000
Na -2.129 3.601 3.226
Na 4.183 -0.044 3.226
Rh -0.018 3.594 -0.014
S 3.166 1.714 5.184
```

## Properties
- Symmetry: C2/m (12)
- Uncorrected formation energy: -0.90 eV per atom